An optimized crystal structure of NiAsF3. Source: Alexandria via LeMat-Bulk, functional PBE+U.

Uncorrected energy = -3.091 eV/atom
Magnetic moment = 0.1 μB/cell

Unit cell a=4.228 b=4.228 c=4.228 alpha=90.00 beta=90.00 gamma=90.00
Site moments in Bohr magnetons follow the coordinates.
Atoms (fractional coordinates):
Ni: 0.500 0.500 0.500  -0.47
As: 0.000 0.000 0.000  0.16
F: 0.000 0.500 0.000  0.01
F: 0.000 0.000 0.500  0.02
F: 0.500 0.000 0.000  0.01